VASP calculation (PBE) on an optimized crystal structure of Tm6Sb2TeAs3.

a b c (Å): 4.175 8.431 9.393
angles (deg): 103.58 102.84 90.00
Atoms (fractional coordinates):
As1 0.500 0.500 0.000
Te1 0.500 0.000 0.000
Sb1 0.834 0.668 0.668
Sb2 0.166 0.332 0.332
Tm1 0.673 0.074 0.346
As2 0.165 0.834 0.331
Tm2 0.004 0.732 0.008
Tm3 0.337 0.407 0.674
Tm4 0.663 0.593 0.326
Tm5 0.996 0.268 0.992
As3 0.835 0.166 0.669
Tm6 0.327 0.926 0.654

Calculated values
**Formation energy (no corrections)**: -1.34 eV per atom
**SG**: C2/m
**Calculated volume**: 26.1 Å³ per atom
**Size of the total moment**: 0.0 μB per formula unit
**DFT total energy**: -5.685 eV/atom

VASP calculation (PBE) on an optimized crystal structure of SrSi2Au.

a b c (Å): 5.248 5.248 5.248
angles (deg): 131.16 105.39 94.38
Atoms (fractional coordinates):
Si1 0.421 0.421 0.000
Sr1 0.750 0.250 0.500
Si2 0.079 0.079 0.000
Au1 0.250 0.750 0.500

Calculated values
**Formation energy (no corrections)**: -0.21 eV per atom
**SG**: Immm
**Calculated volume**: 24.6 Å³ per atom
**Size of the total moment**: 0.0 μB per formula unit
**DFT total energy**: -4.160 eV/atom

VASP calculation (PBE) on an optimized crystal structure of CsSr2Hg2.

a b c (Å): 9.697 9.697 4.351
angles (deg): 90.00 90.00 90.00
Atoms (fractional coordinates):
Cs1 0.500 0.500 0.000
Sr1 0.357 0.143 0.500
Sr2 0.857 0.357 0.500
Hg1 0.143 0.357 0.000
Sr3 0.143 0.643 0.500
Cs2 0.000 0.000 0.000
Hg2 0.643 0.143 0.000
Sr4 0.643 0.857 0.500
Hg3 0.857 0.643 0.000
Hg4 0.357 0.857 0.000

Calculated values
**Formation energy**: -6.4 kcal/mol of atoms
**SG**: P4/mbm
**Calculated volume**: 40.9 Å³ per atom
**Size of the total moment**: 0.0 μB per formula unit
**DFT total energy**: -1.243 eV/atom

VASP calculation (PBE) on an optimized crystal structure of Ba5P2N.

a b c (Å): 6.278 8.079 14.383
angles (deg): 90.00 90.00 112.86
Atoms (fractional coordinates):
Ba1 0.310 0.620 0.402
Ba2 0.690 0.380 0.598
Ba3 0.945 0.889 0.877
P1 0.157 0.313 0.566
Ba4 0.310 0.620 0.098
P2 0.843 0.687 0.066
Ba5 0.945 0.889 0.623
P3 0.157 0.313 0.934
N1 0.810 0.621 0.750
N2 0.190 0.379 0.250
Ba6 0.055 0.111 0.123
P4 0.843 0.687 0.434
Ba7 0.725 0.449 0.250
Ba8 0.055 0.111 0.377
Ba9 0.275 0.551 0.750
Ba10 0.690 0.380 0.902

Calculated values
**Formation energy (no corrections)**: -0.66 eV per atom
**SG**: Cmcm
**Calculated volume**: 42.0 Å³ per atom
**Size of the total moment**: 0.8 μB per formula unit
**DFT total energy**: -4.254 eV/atom

VASP calculation (PBE) on an optimized crystal structure of KGaP2H2.

a b c (Å): 5.339 7.656 12.087
angles (deg): 90.00 90.00 90.00
Atoms (fractional coordinates):
H1 0.250 0.012 0.071
H2 0.750 0.851 0.138
P1 0.962 0.397 0.063
K1 0.250 0.718 0.201
H3 0.250 0.351 0.362
K2 0.750 0.282 0.799
K3 0.250 0.782 0.701
Ga1 0.250 0.322 0.493
H4 0.750 0.649 0.638
Ga2 0.750 0.822 0.007
P2 0.038 0.897 0.437
P3 0.962 0.103 0.563
P4 0.462 0.603 0.937
P5 0.462 0.897 0.437
H5 0.750 0.512 0.429
P6 0.538 0.397 0.063
P7 0.038 0.603 0.937
H6 0.250 0.488 0.571
Ga3 0.750 0.678 0.507
H7 0.250 0.149 0.862
Ga4 0.250 0.178 0.993
K4 0.750 0.218 0.299
H8 0.750 0.988 0.929
P8 0.538 0.103 0.563

Calculated values
**SG**: Pnma
**Calculated volume**: 20.6 Å³ per atom
**Size of the total moment**: 0.0 μB per formula unit
**DFT total energy**: -3.769 eV/atom

VASP calculation (PBE) on an optimized crystal structure of TaBi2N2.

a b c (Å): 7.638 7.638 3.301
angles (deg): 90.00 90.00 90.00
Atoms (fractional coordinates):
N1 0.202 0.702 0.500
Ta1 0.000 0.000 0.000
Bi1 0.654 0.154 0.000
Ta2 0.500 0.500 0.000
N2 0.702 0.798 0.500
Bi2 0.346 0.846 0.000
N3 0.798 0.298 0.500
Bi3 0.846 0.654 0.000
Bi4 0.154 0.346 0.000
N4 0.298 0.202 0.500

Calculated values
**Formation energy (no corrections)**: 1.47 eV per atom
**SG**: P4/mbm
**Calculated volume**: 19.3 Å³ per atom
**Size of the total moment**: 0.0 μB per formula unit
**DFT total energy**: -5.786 eV/atom

VASP calculation (PBE) on an optimized crystal structure of Co5NiGe6.

a b c (Å): 7.527 4.936 4.948
angles (deg): 60.08 83.76 77.41
Site moments in Bohr magnetons follow the coordinates.
Atoms (fractional coordinates):
Ge1 0.250 0.255 0.000  0.00
Ge2 0.750 0.745 0.000  0.00
Co1 0.000 0.667 0.666  0.01
Co2 0.500 0.500 0.000  0.20
Ge3 0.748 0.084 0.338  -0.01
Co3 0.000 0.333 0.334  0.01
Ge4 0.252 0.578 0.338  -0.01
Ge5 0.252 0.916 0.662  -0.01
Ge6 0.748 0.422 0.662  -0.01
Co4 0.500 0.163 0.675  0.21
Co5 0.500 0.837 0.325  0.21
Ni1 0.000 0.000 0.000  0.01

Calculated values
**Formation energy**: -0.6 kcal/mol of atoms
**SG**: C2/m
**Calculated volume**: 13.0 Å³ per atom
**Size of the total moment**: 0.6 μB per formula unit
**DFT total energy**: -5.778 eV/atom

VASP calculation (PBE) on an optimized crystal structure of TaCdPdPt.

a b c (Å): 4.587 4.587 4.587
angles (deg): 60.00 60.00 60.00
Atoms (fractional coordinates):
Pd1 0.250 0.250 0.250
Cd1 0.000 0.000 0.000
Pt1 0.750 0.750 0.750
Ta1 0.500 0.500 0.500

Calculated values
**Formation energy**: -7.1 kcal/mol of atoms
**SG**: F-43m
**Calculated volume**: 17.1 Å³ per atom
**Size of the total moment**: 0.0 μB per formula unit
**DFT total energy**: -6.306 eV/atom